The following is a DFT calculation (PBE-GGA) of VReRu3 after structural relaxation.

Geometry as POSCAR:
```
VReRu3
1.0
4.373 0.000 0.000
0.000 4.373 0.000
0.000 0.000 4.373
V Re Ru
1 1 3
direct
0.000 0.000 0.000
0.500 0.500 0.500
0.000 0.000 0.500
0.000 0.500 0.000
0.500 0.000 0.000
```

Summary:
The volume is 83.6 Å³ per cell. The space-group type is Pm-3m, No. 221. The value obtained for the polymorph energy (0 for the lowest one) is 1463 meV per atom. The value obtained for the magnetic moment is 0.415 μB/atom. The value obtained for the calculated total energy is -42.0 eV for the cell shown. The calculation puts the mass density at 10.73 g/cm3. As for the energy of formation from the pure elements: 1.476 eV/atom.